Entry 1:
Below is LiBH2 after structural relaxation, with properties calculated at the GGA-PBE level.

Computed properties:
- Electronic total energy: -32.9 eV for the cell shown
- Symmetry: Pm, No. 6

a b c (Å): 3.9322 3.1760 4.7588
angles (deg): 90.00 110.93 90.00
With the nearest neighbours (Å) after each atom.
Sites, in units of the cell vectors:
Li  0.1618  0.5000  0.7500  6 H 1.91-2.09
Li  0.8258  0.0000  0.2169  6 H 1.89-2.08
B  0.3604  0.5000  0.3369  2 H 1.24-1.26
B  0.4840  0.0000  0.5330  2 H 1.26
H  0.8274  0.0000  0.6324  1 B 1.26
H  0.4425  0.0000  0.7828  1 B 1.26
H  0.5231  0.5000  0.1559  1 B 1.24
H  0.0412  0.5000  0.1444  1 B 1.26

=====

Entry 2:
Below is Li3BH6 after structural relaxation, with properties calculated at the GGA-PBE level.

Computed properties:
- Electronic total energy: -68.0 eV for the cell shown
- Symmetry: P1, No. 1

a b c (Å): 5.0676 5.3088 6.7927
angles (deg): 102.94 98.12 87.70
With the nearest neighbours (Å) after each atom.
Sites, in units of the cell vectors:
Li  0.5318  0.9498  0.6769  6 H 2.02-2.16
Li  0.6057  0.5830  0.3574  4 H 1.80-1.90
Li  0.1305  0.6470  0.4202  3 H 1.89-2.11
Li  0.9160  0.2067  0.5680  3 H 1.91-2.04
Li  0.2955  0.5594  0.8988  4 H 1.95-2.12
Li  0.4201  0.0603  0.2614  4 H 1.86-2.01
B  0.4388  0.3665  0.5628  2 H 1.25-1.28
B  0.1915  0.1176  0.9457  4 H 1.22-1.23
H  0.3437  0.7098  0.1989  3 Li 1.80-2.00
H  0.5627  0.3405  0.7302  1 B 1.25
H  0.2073  0.9184  0.8140  1 B 1.23
H  0.2936  0.1642  0.5115  1 B 1.28
H  0.0500  0.2763  0.8719  1 B 1.23
H  0.7154  0.6993  0.8372  1 H 0.76
H  0.8418  0.5476  0.1602  1 H 0.77
H  0.7776  0.8132  0.9182  1 H 0.76
H  0.0827  0.0711  0.0831  1 B 1.22
H  0.4152  0.2077  0.0122  1 B 1.23
H  0.8525  0.4122  0.1841  1 H 0.77
H  0.8276  0.8494  0.4874  3 Li 1.83-1.91

=====

| no. | offset from the most stable computed form (meV/atom) |
| --- | --- |
| 1 | 26 |
| 2 | 1 |